# 1
DFT (PBE) results for an optimized crystal structure of MgScTa2.

Properties
Its magnetization is 0.000 μB/cell. The value obtained for the energy of formation from the pure elements is 94.3 kJ/mol of formula units.

a = 5.4178 Å, b = 5.4178 Å, c = 5.4178 Å
α = 134.99°, β = 134.99°, γ = 65.54°
Sites, in units of the cell vectors:
Mg (0.0000, 0.0000, 0.0000)
Sc (0.5000, 0.5000, 0.0000)
Ta (0.2500, 0.7500, 0.5000)
Ta (0.7500, 0.2500, 0.5000)


# 2
DFT (PBE) results for an optimized crystal structure of IrPtRh.

Properties
The calculation puts the energy above the most stable polymorph in this dataset at 0.506 eV per atom. Its magnetization is 0.000 μB/cell. The value obtained for the energy of formation from the pure elements is 137.2 kJ/mol of formula units.

a = 4.7404 Å, b = 4.7404 Å, c = 7.0986 Å
α = 115.23°, β = 115.23°, γ = 48.89°
Sites, in units of the cell vectors:
Ir (0.1967, 0.1967, 0.3722)
Ir (0.8033, 0.8033, 0.6278)
Pt (0.1391, 0.1391, 0.9732)
Pt (0.8609, 0.8609, 0.0268)
Rh (0.4759, 0.4759, 0.3078)
Rh (0.5241, 0.5241, 0.6922)


# 3
DFT (PBE) results for an optimized crystal structure of Ce2Th3PaN6.

Properties
Its magnetization is 0.000 μB/cell. The calculation puts the energy at -9.378 eV/atom.

a = 6.2456 Å, b = 6.2456 Å, c = 6.2332 Å
α = 99.64°, β = 99.64°, γ = 119.96°
Sites, in units of the cell vectors:
Ce (0.1663, 0.8337, 0.0000)
Ce (0.8337, 0.1663, 0.0000)
Th (0.0000, 0.0000, 0.5000)
Th (0.3315, 0.6685, 0.5000)
Th (0.6685, 0.3315, 0.5000)
Pa (0.5000, 0.5000, 0.0000)
N (0.1037, 0.4220, 0.7651)
N (0.2618, 0.2618, 0.2405)
N (0.4220, 0.1037, 0.7651)
N (0.5780, 0.8963, 0.2349)
N (0.7382, 0.7382, 0.7595)
N (0.8963, 0.5780, 0.2349)


# 4
DFT (PBE) results for an optimized crystal structure of Nd4TlCuHg2.

Properties
Its magnetization is 1.315 μB/cell. The value obtained for the energy of formation from the pure elements is -267.2 kJ/mol of formula units.

a = 9.3167 Å, b = 9.3167 Å, c = 9.3167 Å
α = 33.59°, β = 33.59°, γ = 33.59°
Sites, in units of the cell vectors:
Nd (0.1174, 0.1174, 0.1174)
Nd (0.3685, 0.3685, 0.3685)
Nd (0.6315, 0.6315, 0.6315)
Nd (0.8826, 0.8826, 0.8826)
Tl (0.5000, 0.5000, 0.5000)
Cu (0.0000, 0.0000, 0.0000)
Hg (0.2454, 0.2454, 0.2454)
Hg (0.7546, 0.7546, 0.7546)